{
  "formula": "RbSnHg3",
  "functional": "GGA-PBE",
  "state": "relaxed",
  "formation_enthalpy_0k_ev_per_fu": -0.42,
  "dos_at_fermi_per_ev_atom": 0.551,
  "total_magnetization_mub_per_cell": 0.00,
  "total_energy_ev_per_atom": -1.26,
  "volume_a3_per_fu": 200,
  "cell": [[-1.031, -0.948, -5.678], [5.523, -1.790, -0.704], [-1.623, -5.487, 1.211]],
  "species": ["Hg", "Hg", "Hg", "Rb", "Sn"],
  "fractional_positions": [[0.500, 0.000, 0.000], [0.000, 0.500, 0.000], [0.000, 0.000, 0.500], [0.500, 0.500, 0.500], [0.000, 0.000, 0.000]]
}